Record 1
Compound: Nd2Dy2YHo2
Source: Alexandria via LeMat-Bulk
Functional: PBE
Structure: optimized geometry

Cell and atoms, written as POSCAR:
```
Nd2Dy2YHo2
1.0
-0.170 -3.212 -1.372
5.827 1.199 0.929
-3.216 -4.341 10.555
Ho Dy Y Nd
2 2 1 2
Direct
0.654 0.308 0.072
0.346 0.692 0.928
0.705 0.410 0.371
0.295 0.590 0.629
0.000 0.000 0.500
0.407 0.815 0.223
0.593 0.185 0.777
```

Computed properties:
- E: -33.3 eV for the cell shown
- Symmetry: C2/m
- M_tot: 0.000 μB/atom
- DFT formation energy: 0.151 eV per atom

Record 2
Compound: Nd4Dy2Y2Ho
Source: Alexandria via LeMat-Bulk
Functional: PBE
Structure: optimized geometry

Cell and atoms, written as POSCAR:
```
Nd4Dy2Y2Ho
1.0
-3.736 -3.090 -1.602
7.060 -3.038 -2.470
-1.191 -2.489 7.578
Dy Nd Y Ho
2 4 2 1
Direct
0.333 0.666 0.000
0.667 0.334 0.000
0.778 0.556 0.669
0.555 0.109 0.330
0.445 0.891 0.670
0.222 0.444 0.331
0.112 0.223 0.670
0.888 0.777 0.330
0.000 0.000 0.000
```

Computed properties:
- E: -45.6 eV for the cell shown
- Symmetry: C2/m
- M_tot: 0.000 μB/atom
- DFT formation energy: 0.019 eV per atom

Record 3
Compound: Nd6Dy3YHo2
Source: Alexandria via LeMat-Bulk
Functional: PBE
Structure: optimized geometry

Cell and atoms, written as POSCAR:
```
Nd6Dy3YHo2
1.0
-5.484 1.664 -2.555
0.677 -5.697 2.542
-1.938 5.521 10.317
Dy Ho Y Nd
3 2 1 6
Direct
0.500 0.500 0.500
0.833 0.167 0.500
0.167 0.833 0.500
0.667 0.333 0.000
0.333 0.667 0.000
0.000 0.000 0.000
0.916 0.582 0.750
0.418 0.084 0.250
0.582 0.916 0.750
0.750 0.750 0.250
0.084 0.418 0.250
0.250 0.250 0.750
```

Computed properties:
- E: -57.9 eV for the cell shown
- Symmetry: C2/m
- M_tot: 0.000 μB/atom
- DFT formation energy: 0.011 eV per atom

Record 4
Compound: Nd2Dy3YHo6
Source: Alexandria via LeMat-Bulk
Functional: PBE
Structure: optimized geometry

Cell and atoms, written as POSCAR:
```
Nd2Dy3YHo6
1.0
-1.890 4.873 -3.267
-3.226 -5.250 -0.158
-4.622 3.735 10.176
Ho Nd Dy Y
6 2 3 1
Direct
0.418 0.085 0.253
0.085 0.418 0.253
0.248 0.248 0.747
0.582 0.915 0.747
0.752 0.752 0.253
0.915 0.582 0.747
0.333 0.667 0.000
0.667 0.333 0.000
0.834 0.166 0.500
0.166 0.834 0.500
0.500 0.500 0.500
0.000 0.000 0.000
```

Computed properties:
- E: -57.1 eV for the cell shown
- Symmetry: C2/m
- M_tot: 0.000 μB/atom
- DFT formation energy: 0.018 eV per atom

Record 5
Compound: Nd6Dy2Y3Ho
Source: Alexandria via LeMat-Bulk
Functional: PBE
Structure: optimized geometry

Cell and atoms, written as POSCAR:
```
Nd6Dy2Y3Ho
1.0
6.285 -0.002 0.009
-3.143 5.443 0.009
-1.058 -1.833 11.686
Ho Y Nd Dy
1 3 6 2
Direct
0.000 0.000 0.000
0.167 0.833 0.500
0.833 0.167 0.500
0.500 0.500 0.500
0.750 0.750 0.249
0.250 0.250 0.751
0.083 0.416 0.249
0.917 0.584 0.751
0.584 0.917 0.751
0.416 0.083 0.249
0.333 0.667 0.000
0.667 0.333 0.000
```

Computed properties:
- E: -61.7 eV for the cell shown
- Symmetry: C2/m
- M_tot: 0.000 μB/atom
- DFT formation energy: 0.010 eV per atom

Record 6
Compound: NdDy2YHo
Source: Alexandria via LeMat-Bulk
Functional: PBE
Structure: optimized geometry

Cell and atoms, written as POSCAR:
```
NdDy2YHo
1.0
-1.853 -3.550 6.008
8.125 -0.844 2.007
-4.257 5.396 1.876
Dy Y Ho Nd
4 2 2 2
Direct
0.000 0.689 0.000
0.500 0.689 0.000
0.000 0.311 0.000
0.500 0.311 0.000
0.750 0.002 0.004
0.250 0.998 0.996
0.250 0.277 0.554
0.750 0.723 0.446
0.250 0.726 0.452
0.750 0.274 0.548
```

Computed properties:
- E: -46.1 eV for the cell shown
- Symmetry: Cmcm
- M_tot: 0.000 μB/atom
- DFT formation energy: 0.394 eV per atom

Record 7
Compound: Nd3DyY2Ho6
Source: Alexandria via LeMat-Bulk
Functional: PBE
Structure: optimized geometry

Cell and atoms, written as POSCAR:
```
Nd3DyY2Ho6
1.0
-3.829 -4.060 2.691
5.248 -1.974 -2.636
5.132 3.411 10.081
Ho Nd Y Dy
6 3 2 1
Direct
0.917 0.585 0.753
0.083 0.415 0.247
0.415 0.083 0.247
0.250 0.250 0.753
0.750 0.750 0.247
0.585 0.917 0.753
0.167 0.833 0.500
0.833 0.167 0.500
0.500 0.500 0.500
0.667 0.333 0.000
0.333 0.667 0.000
0.000 0.000 0.000
```

Computed properties:
- E: -59.1 eV for the cell shown
- Symmetry: C2/m
- M_tot: 0.000 μB/atom
- DFT formation energy: 0.020 eV per atom

Record 8
Compound: Nd2Dy2Y4Ho
Source: Alexandria via LeMat-Bulk
Functional: PBE
Structure: optimized geometry

Cell and atoms, written as POSCAR:
```
Nd2Dy2Y4Ho
1.0
3.616 0.000 0.000
-1.808 9.367 -0.498
0.000 -3.702 8.865
Dy Nd Y Ho
2 2 4 1
Direct
0.148 0.295 0.664
0.852 0.705 0.336
0.665 0.331 0.998
0.335 0.669 0.002
0.481 0.961 0.665
0.814 0.629 0.665
0.186 0.371 0.335
0.519 0.039 0.335
0.000 0.000 0.000
```

Computed properties:
- E: -49.2 eV for the cell shown
- Symmetry: C2/m
- M_tot: 0.000 μB/atom
- DFT formation energy: -0.003 eV per atom